This record from Alexandria via LeMat-Bulk describes crystalline Dy5SnSb4 at its relaxed geometry. The functional is PBE-GGA.

POSCAR file:
```
Dy5SnSb4
1.0
-4.903 4.903 3.101
4.903 -4.903 3.101
4.903 4.903 -3.101
Dy Sn Sb
5 1 4
Cartesian
0.000 0.000 0.000 Dy
3.914 1.950 0.000 Dy
2.953 -0.989 3.101 Dy
1.950 5.892 0.000 Dy
0.989 2.953 3.101 Dy
0.000 0.000 3.101 Sn
6.862 0.977 0.000 Sb
0.977 2.944 0.000 Sb
3.926 1.959 3.101 Sb
-1.959 3.926 3.101 Sb
```

Calculated values
Space-group type: I4/m, No. 87
Total energy: -5.350 eV per atom
Total magnetization: 0.00 μB per cell
Formation energy (no corrections): -1.000 eV/atom
DOS at the Fermi energy: 4.55 states/eV/cell

---

This record from Alexandria via LeMat-Bulk describes crystalline CuNiGe at its relaxed geometry. The functional is PBE-GGA.

POSCAR file:
```
CuNiGe
1.0
5.565 0.000 0.000
0.000 5.565 0.000
0.000 0.000 5.565
Cu Ni Ge
4 4 4
Cartesian
0.000 0.000 0.000 Cu
0.000 2.783 2.783 Cu
2.783 0.000 2.783 Cu
2.783 2.783 0.000 Cu
1.391 1.391 4.174 Ni
1.391 4.174 1.391 Ni
4.174 1.391 1.391 Ni
4.174 4.174 4.174 Ni
0.000 0.000 2.783 Ge
0.000 2.783 0.000 Ge
2.783 0.000 0.000 Ge
2.783 2.783 2.783 Ge
```

Calculated values
DFT formation energy: -0.037 eV per atom
Space-group type: F-43m, No. 216
Total energy: -4.869 eV per atom
Total magnetization: 0.00 μB per cell
DOS at the Fermi energy: 7.28 states/eV/cell

---

This record from Alexandria via LeMat-Bulk describes crystalline La2Bi2Au15 at its relaxed geometry. The functional is PBE-GGA.

POSCAR file:
```
La2Bi2Au15
1.0
4.975 2.872 4.767
-4.975 2.872 4.767
0.000 -5.744 4.767
La Bi Au
2 2 15
Cartesian
0.000 0.000 2.107 La
0.000 0.000 12.193 La
0.000 0.000 5.611 Bi
0.000 0.000 8.689 Bi
-2.487 -1.436 4.767 Au
0.000 -2.996 4.641 Au
-2.595 1.498 4.641 Au
-1.610 -2.789 7.150 Au
-3.221 0.000 7.150 Au
-2.595 -1.498 9.658 Au
-2.487 1.436 9.533 Au
1.610 -2.789 7.150 Au
0.000 2.872 4.767 Au
-1.610 2.789 7.150 Au
2.595 1.498 4.641 Au
3.221 0.000 7.150 Au
1.610 2.789 7.150 Au
2.595 -1.498 9.658 Au
0.000 2.996 9.658 Au
```

Calculated values
DFT formation energy: -0.285 eV per atom
Space-group type: R-3m, No. 166
Total energy: -3.800 eV per atom
Total magnetization: 0.00 μB per cell
DOS at the Fermi energy: 6.96 states/eV/cell

---

This record from Alexandria via LeMat-Bulk describes crystalline Rb5Pt at its relaxed geometry. The functional is PBE-GGA.

POSCAR file:
```
Rb5Pt
1.0
10.302 0.000 0.000
-5.151 8.921 0.000
0.000 0.000 4.757
Rb Pt
5 1
Cartesian
-4.006 6.938 0.000 Rb
1.145 1.983 0.000 Rb
0.000 5.948 2.379 Rb
5.151 2.974 2.379 Rb
8.012 0.000 0.000 Rb
0.000 0.000 2.379 Pt
```

Calculated values
DFT formation energy: 0.102 eV per atom
Space-group type: P-62m, No. 189
Total energy: -1.711 eV per atom
Total magnetization: 0.00 μB per cell
Relative energy among the computed polymorphs: 13.9 meV/atom
DOS at the Fermi energy: 2.46 states/eV/cell

---

This record from Alexandria via LeMat-Bulk describes crystalline LaY2Mg at its relaxed geometry. The functional is PBE-GGA.

POSCAR file:
```
LaY2Mg
1.0
4.970 0.000 0.000
0.000 4.970 0.000
0.000 0.000 10.162
La Y Mg
2 4 2
Cartesian
0.000 0.000 0.000 La
2.485 2.485 5.081 La
0.000 2.485 2.540 Y
0.000 2.485 7.621 Y
2.485 0.000 2.540 Y
2.485 0.000 7.621 Y
0.000 0.000 5.081 Mg
2.485 2.485 0.000 Mg
```

Calculated values
DFT formation energy: 0.046 eV per atom
Space-group type: I4/mmm, No. 139
Total energy: -4.817 eV per atom
Total magnetization: 0.00 μB per cell
DOS at the Fermi energy: 12.55 states/eV/cell

---

This record from Alexandria via LeMat-Bulk describes crystalline LiAcEu2 at its relaxed geometry. The functional is PBE-GGA.

POSCAR file:
```
LiAcEu2
1.0
8.560 0.000 0.000
0.000 8.560 0.000
0.000 0.000 8.560
Li Ac Eu
4 4 8
Cartesian
0.000 0.000 0.000 Li
0.000 4.280 4.280 Li
4.280 0.000 4.280 Li
4.280 4.280 0.000 Li
0.000 0.000 4.280 Ac
0.000 4.280 0.000 Ac
4.280 0.000 0.000 Ac
4.280 4.280 4.280 Ac
2.140 2.140 2.140 Eu
2.140 2.140 6.420 Eu
2.140 6.420 2.140 Eu
2.140 6.420 6.420 Eu
6.420 2.140 2.140 Eu
6.420 2.140 6.420 Eu
6.420 6.420 2.140 Eu
6.420 6.420 6.420 Eu
```

Calculated values
DFT formation energy: 0.195 eV per atom
Space-group type: Fm-3m, No. 225
Total energy: -6.448 eV per atom
Total magnetization: 59.62 μB per cell
Relative energy among the computed polymorphs: 148.0 meV/atom
DOS at the Fermi energy: 18.42 states/eV/cell

---

This record from Alexandria via LeMat-Bulk describes crystalline PmTm4S5 at its relaxed geometry. The functional is PBE-GGA.

POSCAR file:
```
PmTm4S5
1.0
-1.937 2.745 9.725
1.937 -2.745 9.725
1.937 2.745 -9.725
Pm Tm S
1 4 5
Cartesian
0.000 0.000 0.000 Pm
0.000 0.000 3.939 Tm
0.000 0.000 7.796 Tm
0.000 0.000 11.654 Tm
0.000 0.000 15.511 Tm
1.937 0.000 2.067 S
1.937 0.000 5.860 S
0.000 2.745 0.000 S
0.000 2.745 3.865 S
0.000 2.745 7.658 S
```

Calculated values
Space-group type: Immm, No. 71
Total energy: -6.266 eV per atom
Total magnetization: 0.00 μB per cell
Formation energy (no corrections): -1.938 eV/atom
DOS at the Fermi energy: 4.49 states/eV/cell

---

This record from Alexandria via LeMat-Bulk describes crystalline HfZrCuPd at its relaxed geometry. The functional is PBE-GGA.

POSCAR file:
```
HfZrCuPd
1.0
4.312 0.000 0.000
0.000 3.282 0.000
0.000 0.000 10.346
Hf Zr Cu Pd
2 2 2 2
Cartesian
0.000 0.000 0.000 Hf
0.000 1.641 5.173 Hf
2.156 0.000 3.064 Zr
2.156 1.641 8.237 Zr
0.000 0.000 7.531 Cu
0.000 1.641 2.358 Cu
2.156 0.000 5.885 Pd
2.156 1.641 0.712 Pd
```

Calculated values
DFT formation energy: -0.384 eV per atom
Space-group type: Amm2, No. 38
Total energy: -7.331 eV per atom
Total magnetization: 0.00 μB per cell
DOS at the Fermi energy: 8.19 states/eV/cell

---

This record from Alexandria via LeMat-Bulk describes crystalline Np4Ta3TiN8 at its relaxed geometry. The functional is PBE-GGA.

POSCAR file:
```
Np4Ta3TiN8
1.0
3.212 1.854 5.457
-3.212 1.854 5.457
0.000 -3.708 5.457
Np Ta Ti N
4 3 1 8
Cartesian
0.000 0.000 0.000 Np
-1.606 -0.927 5.457 Np
-1.606 0.927 10.914 Np
0.000 1.854 5.457 Np
-3.212 0.000 8.186 Ta
-1.606 0.927 2.729 Ta
1.606 0.927 2.729 Ta
0.000 0.000 8.186 Ti
0.000 0.000 3.919 N
-1.595 -0.921 9.369 N
0.000 -1.842 7.002 N
-1.595 0.921 7.002 N
1.595 -0.921 9.369 N
0.000 1.842 9.369 N
1.595 0.921 7.002 N
0.000 0.000 12.453 N
```

Calculated values
Space-group type: R-3m, No. 166
Total energy: -11.329 eV per atom
Total magnetization: 12.05 μB per cell
Formation energy (no corrections): -1.216 eV/atom
DOS at the Fermi energy: 21.74 states/eV/cell

---

This record from Alexandria via LeMat-Bulk describes crystalline Nd8Al2Co at its relaxed geometry. The functional is PBE-GGA.

POSCAR file:
```
Nd8Al2Co
1.0
9.245 -2.587 0.000
9.245 2.587 0.000
-1.538 0.000 6.692
Nd Al Co
8 2 1
Cartesian
-0.097 0.000 1.879 Nd
2.627 0.000 5.305 Nd
5.692 0.000 3.584 Nd
7.458 0.000 0.347 Nd
9.493 0.000 6.345 Nd
11.259 0.000 3.107 Nd
14.323 0.000 1.387 Nd
17.048 0.000 4.813 Nd
3.097 0.000 1.604 Al
13.854 0.000 5.088 Al
8.475 0.000 3.346 Co
```

Calculated values
DFT formation energy: -0.113 eV per atom
Space-group type: C2/m, No. 12
Total energy: -4.907 eV per atom
Total magnetization: 0.00 μB per cell
DOS at the Fermi energy: 10.64 states/eV/cell

---

This record from Alexandria via LeMat-Bulk describes crystalline SmSi2Pt7Pb2 at its relaxed geometry. The functional is PBE-GGA.

POSCAR file:
```
SmSi2Pt7Pb2
1.0
2.840 -2.842 0.000
2.840 2.842 0.000
-2.770 0.000 15.252
Sm Si Pt Pb
1 2 7 2
Cartesian
0.000 0.000 0.000 Sm
0.070 0.000 11.678 Si
2.840 0.000 3.574 Si
1.419 1.420 2.260 Pt
0.043 0.000 9.365 Pt
1.491 1.420 12.991 Pt
2.840 0.000 0.000 Pt
1.419 -1.420 2.260 Pt
2.867 0.000 5.887 Pt
1.491 -1.420 12.991 Pt
0.027 0.000 6.386 Pb
2.883 0.000 8.865 Pb
```

Calculated values
Space-group type: C2/m, No. 12
Total energy: -6.036 eV per atom
Total magnetization: 0.00 μB per cell
Formation energy (no corrections): -0.597 eV/atom
DOS at the Fermi energy: 3.82 states/eV/cell

---

Q: What is the DOS at the Fermi energy in the eighth record?
A: 8.19 states/eV/cell